This record from the Alexandria database describes a relaxed K2TiZnBi crystal. The functional is GGA-PBE.

Values from the calculation:
- VASP energy (eV per atom) = -2.270
- space-group type = No. 123

abc: 6.9538 6.9538 5.2323
angles: 90.00 90.00 90.00
Element x y z (fractional)
K  0.0000  0.5000  0.0000
K  0.5000  0.0000  0.0000
Ti  0.0000  0.0000  0.5000
Zn  0.5000  0.5000  0.5000
Bi  0.5000  0.5000  0.0000